1.
The following is a DFT calculation (GGA-PBE) of an optimized crystal structure of Rb3Na2Au3.

Values from the calculation:
ΔE_f	-193	kJ/mol of formula units
crystal system	orthorhombic

abc: 4.9643 13.5586 16.8890
angles: 90.00 90.00 90.00
Closest atoms and distances in Å follow each position.
Space group Cmcm (No. 63)
Symmetry-distinct sites (fractional):
Rb (0.0000, 0.0717, 0.1160)  6 Au 3.59-3.67, 3 Na 3.80-3.81
Rb (0.0000, 0.3656, 0.2500)  4 Au 3.53-3.65
Na (0.0000, 0.2222, 0.5747)  4 Au 3.10-3.24
Au (0.0000, 0.3195, 0.7500)  2 Na 3.24, 2 Rb 3.53
Au (0.0000, 0.4056, 0.0362)  1 Au 2.84, 3 Na 3.10-3.11

2.
The following is a DFT calculation (GGA-PBE) of an optimized crystal structure of LaTcBr2.

Values from the calculation:
E_form (uncorrected)	169	meV/atom
crystal system	trigonal

abc: 3.5641 3.5641 28.4315
angles: 90.00 90.00 120.00
Closest atoms and distances in Å follow each position.
Space group R-3m (No. 166, hexagonal axes)
Symmetry-distinct sites (fractional):
La (0.0000, 0.0000, 0.0000)  2 Br 3.11
Tc (0.0000, 0.0000, 0.5000)  6 Br 2.62
Br (0.0000, 0.0000, 0.1094)  3 Tc 2.62

Which formula does entry 1 have?
Rb3Na2Au3

Please write out number 1 again, unchanged.
The following is a DFT calculation (GGA-PBE) of an optimized crystal structure of Rb3Na2Au3.

Values from the calculation:
ΔE_f	-193	kJ/mol of formula units
crystal system	orthorhombic

abc: 4.9643 13.5586 16.8890
angles: 90.00 90.00 90.00
Closest atoms and distances in Å follow each position.
Space group Cmcm (No. 63)
Symmetry-distinct sites (fractional):
Rb (0.0000, 0.0717, 0.1160)  6 Au 3.59-3.67, 3 Na 3.80-3.81
Rb (0.0000, 0.3656, 0.2500)  4 Au 3.53-3.65
Na (0.0000, 0.2222, 0.5747)  4 Au 3.10-3.24
Au (0.0000, 0.3195, 0.7500)  2 Na 3.24, 2 Rb 3.53
Au (0.0000, 0.4056, 0.0362)  1 Au 2.84, 3 Na 3.10-3.11